(P)
# BaNdPt2, relaxed, DFT GGA-PBE
# total moment	0.0	μB per cell
# DOS(E_F)	2.31	states/eV/f.u.
data_BaNdPt2
_cell_length_a 3.7138
_cell_length_b 3.7138
_cell_length_c 7.6046
_cell_angle_alpha 90.00
_cell_angle_beta 90.00
_cell_angle_gamma 90.00
_symmetry_space_group_name_H-M 'P 4/m m m'
_symmetry_Int_Tables_number 123
_symmetry_space_group_name_Hall '-P 4 2'
loop_
_atom_site_label
_atom_site_type_symbol
_atom_site_fract_x
_atom_site_fract_y
_atom_site_fract_z
Ba1 Ba 0.0000 0.0000 0.0000
Nd1 Nd 0.0000 0.0000 0.5000
Pt1 Pt 0.5000 0.5000 0.2949



(Q)
# BaNdPt2, relaxed, DFT GGA-PBE
# total moment	0.0	μB per cell
# DOS(E_F)	1.16	states/eV/f.u.
data_BaNdPt2
_cell_length_a 7.4366
_cell_length_b 7.4366
_cell_length_c 7.4366
_cell_angle_alpha 90.00
_cell_angle_beta 90.00
_cell_angle_gamma 90.00
_symmetry_space_group_name_H-M 'F m -3 m'
_symmetry_Int_Tables_number 225
_symmetry_space_group_name_Hall '-F 4 2 3'
loop_
_atom_site_label
_atom_site_type_symbol
_atom_site_fract_x
_atom_site_fract_y
_atom_site_fract_z
Ba1 Ba 0.0000 0.0000 0.0000
Nd1 Nd 0.0000 0.0000 0.5000
Pt1 Pt 0.2500 0.2500 0.2500



Least stable = (Q)



(P)
# BaNdPt2, relaxed, DFT GGA-PBE
# total moment	0.0	μB per cell
# DOS(E_F)	2.39	states/eV/f.u.
data_BaNdPt2
_cell_length_a 4.3571
_cell_length_b 4.3571
_cell_length_c 21.6525
_cell_angle_alpha 90.00
_cell_angle_beta 90.00
_cell_angle_gamma 120.00
_symmetry_space_group_name_H-M 'R -3 m'
_symmetry_Int_Tables_number 166
_symmetry_space_group_name_Hall '-R 3 2"'
loop_
_atom_site_label
_atom_site_type_symbol
_atom_site_fract_x
_atom_site_fract_y
_atom_site_fract_z
Ba1 Ba 0.0000 0.0000 0.0000
Nd1 Nd 0.0000 0.0000 0.5000
Pt1 Pt 0.0000 0.0000 0.2385



(Q)
# BaNdPt2, relaxed, DFT GGA-PBE
# total moment	0.0	μB per cell
# DOS(E_F)	2.21	states/eV/f.u.
data_BaNdPt2
_cell_length_a 4.2577
_cell_length_b 4.2577
_cell_length_c 22.8112
_cell_angle_alpha 90.00
_cell_angle_beta 90.00
_cell_angle_gamma 120.00
_symmetry_space_group_name_H-M 'R 3 m'
_symmetry_Int_Tables_number 160
_symmetry_space_group_name_Hall 'R 3 -2"'
loop_
_atom_site_label
_atom_site_type_symbol
_atom_site_fract_x
_atom_site_fract_y
_atom_site_fract_z
Ba1 Ba 0.0000 0.0000 0.0000
Nd1 Nd 0.0000 0.0000 0.1714
Pt1 Pt 0.0000 0.0000 0.5766
Pt2 Pt 0.0000 0.0000 0.7649



Least stable = (Q)



(P)
# BaNd2Ru, relaxed, DFT GGA-PBE
# total moment	0.0	μB per cell
# DOS(E_F)	2.97	states/eV/f.u.
data_BaNd2Ru
_cell_length_a 3.5932
_cell_length_b 3.5932
_cell_length_c 10.4253
_cell_angle_alpha 90.00
_cell_angle_beta 90.00
_cell_angle_gamma 90.00
_symmetry_space_group_name_H-M 'P 4/m m m'
_symmetry_Int_Tables_number 123
_symmetry_space_group_name_Hall '-P 4 2'
loop_
_atom_site_label
_atom_site_type_symbol
_atom_site_fract_x
_atom_site_fract_y
_atom_site_fract_z
Ba1 Ba 0.0000 0.0000 0.0000
Nd1 Nd 0.5000 0.5000 0.3396
Ru1 Ru 0.0000 0.0000 0.5000



(Q)
# BaNd2Ru, relaxed, DFT GGA-PBE
# total moment	0.0	μB per cell
# DOS(E_F)	2.97	states/eV/f.u.
data_BaNd2Ru
_cell_length_a 4.2218
_cell_length_b 4.2218
_cell_length_c 29.5038
_cell_angle_alpha 90.00
_cell_angle_beta 90.00
_cell_angle_gamma 120.00
_symmetry_space_group_name_H-M 'R -3 m'
_symmetry_Int_Tables_number 166
_symmetry_space_group_name_Hall '-R 3 2"'
loop_
_atom_site_label
_atom_site_type_symbol
_atom_site_fract_x
_atom_site_fract_y
_atom_site_fract_z
Ba1 Ba 0.0000 0.0000 0.0000
Nd1 Nd 0.0000 0.0000 0.2155
Ru1 Ru 0.0000 0.0000 0.5000



Least stable = (P)



(P)
# BaNd2S4, relaxed, DFT GGA-PBE
# total moment	0.0	μB per cell
data_BaNd2S4
_cell_length_a 4.1657
_cell_length_b 13.6835
_cell_length_c 13.9576
_cell_angle_alpha 90.00
_cell_angle_beta 90.00
_cell_angle_gamma 90.00
_symmetry_space_group_name_H-M 'C m c m'
_symmetry_Int_Tables_number 63
_symmetry_space_group_name_Hall '-C 2c 2'
loop_
_atom_site_label
_atom_site_type_symbol
_atom_site_fract_x
_atom_site_fract_y
_atom_site_fract_z
Ba1 Ba 0.0000 0.1114 0.2500
Nd1 Nd 0.0000 0.3661 0.0686
S1 S 0.0000 0.0000 0.0000
S2 S 0.0000 0.2668 0.6127
S3 S 0.0000 0.4456 0.2500



(Q)
# BaNd2S4, relaxed, DFT GGA-PBE
# total moment	0.0	μB per cell
# DOS(E_F)	0.00	states/eV/f.u.
data_BaNd2S4
_cell_length_a 8.8733
_cell_length_b 8.8733
_cell_length_c 8.8858
_cell_angle_alpha 90.00
_cell_angle_beta 90.00
_cell_angle_gamma 90.00
_symmetry_space_group_name_H-M 'I -4 2 d'
_symmetry_Int_Tables_number 122
_symmetry_space_group_name_Hall 'I -4 2bw'
loop_
_atom_site_label
_atom_site_type_symbol
_atom_site_fract_x
_atom_site_fract_y
_atom_site_fract_z
Ba1 Ba 0.0000 0.0000 0.0000
Nd1 Nd 0.1185 0.7500 0.6250
S1 S 0.0765 0.6681 0.9342



(R)
# BaNd2S4, relaxed, DFT GGA-PBE
# total moment	0.0	μB per cell
# DOS(E_F)	0.00	states/eV/f.u.
data_BaNd2S4
_cell_length_a 12.4321
_cell_length_b 4.2030
_cell_length_c 14.9724
_cell_angle_alpha 90.00
_cell_angle_beta 90.00
_cell_angle_gamma 90.00
_symmetry_space_group_name_H-M 'P n m a'
_symmetry_Int_Tables_number 62
loop_
_symmetry_equiv_pos_as_xyz
'x,y,z'
'-x,-y,-z'
'-x+1/2,-y,z+1/2'
'x+1/2,y,-z+1/2'
'x+1/2,-y+1/2,-z+1/2'
'-x+1/2,y+1/2,z+1/2'
'-x,y+1/2,-z'
'x,-y+1/2,z'
loop_
_atom_site_label
_atom_site_type_symbol
_atom_site_fract_x
_atom_site_fract_y
_atom_site_fract_z
Ba1 Ba 0.2462 0.2500 0.1589
Nd1 Nd 0.0759 0.2500 0.8955
Nd2 Nd 0.0770 0.2500 0.3928
S1 S 0.0166 0.7500 0.7825
S2 S 0.0774 0.2500 0.5803
S3 S 0.1314 0.7500 0.0212
S4 S 0.2109 0.7500 0.3253



Least stable = (Q)



(P)
# BaNdS2, relaxed, DFT GGA-PBE
# total moment	0.0	μB per cell
# DOS(E_F)	1.97	states/eV/f.u.
data_BaNdS2
_cell_length_a 4.1792
_cell_length_b 4.1792
_cell_length_c 7.5291
_cell_angle_alpha 90.00
_cell_angle_beta 90.00
_cell_angle_gamma 120.00
_symmetry_space_group_name_H-M 'P -3 m 1'
_symmetry_Int_Tables_number 164
_symmetry_space_group_name_Hall '-P 3 2"'
loop_
_atom_site_label
_atom_site_type_symbol
_atom_site_fract_x
_atom_site_fract_y
_atom_site_fract_z
Ba1 Ba 0.0000 0.0000 0.0000
Nd1 Nd 0.0000 0.0000 0.5000
S1 S 0.3333 0.6667 0.7191



(Q)
# BaNdS2, relaxed, DFT GGA-PBE
# total moment	0.0	μB per cell
# DOS(E_F)	1.70	states/eV/f.u.
data_BaNdS2
_cell_length_a 4.2282
_cell_length_b 4.2282
_cell_length_c 21.5918
_cell_angle_alpha 90.00
_cell_angle_beta 90.00
_cell_angle_gamma 120.00
_symmetry_space_group_name_H-M 'R -3 m'
_symmetry_Int_Tables_number 166
_symmetry_space_group_name_Hall '-R 3 2"'
loop_
_atom_site_label
_atom_site_type_symbol
_atom_site_fract_x
_atom_site_fract_y
_atom_site_fract_z
Ba1 Ba 0.0000 0.0000 0.0000
Nd1 Nd 0.0000 0.0000 0.5000
S1 S 0.0000 0.0000 0.2402



Least stable = (P)



(P)
# BaNdSe2, relaxed, DFT GGA-PBE
# total moment	0.0	μB per cell
# DOS(E_F)	2.33	states/eV/f.u.
data_BaNdSe2
_cell_length_a 4.3166
_cell_length_b 4.3166
_cell_length_c 23.3195
_cell_angle_alpha 90.00
_cell_angle_beta 90.00
_cell_angle_gamma 120.00
_symmetry_space_group_name_H-M 'R 3 m'
_symmetry_Int_Tables_number 160
_symmetry_space_group_name_Hall 'R 3 -2"'
loop_
_atom_site_label
_atom_site_type_symbol
_atom_site_fract_x
_atom_site_fract_y
_atom_site_fract_z
Ba1 Ba 0.0000 0.0000 0.0000
Nd1 Nd 0.0000 0.0000 0.1733
Se1 Se 0.0000 0.0000 0.5780
Se2 Se 0.0000 0.0000 0.7640



(Q)
# BaNdSe2, relaxed, DFT GGA-PBE
# total moment	0.0	μB per cell
# DOS(E_F)	1.81	states/eV/f.u.
data_BaNdSe2
_cell_length_a 4.3898
_cell_length_b 4.3898
_cell_length_c 22.3715
_cell_angle_alpha 90.00
_cell_angle_beta 90.00
_cell_angle_gamma 120.00
_symmetry_space_group_name_H-M 'R -3 m'
_symmetry_Int_Tables_number 166
_symmetry_space_group_name_Hall '-R 3 2"'
loop_
_atom_site_label
_atom_site_type_symbol
_atom_site_fract_x
_atom_site_fract_y
_atom_site_fract_z
Ba1 Ba 0.0000 0.0000 0.0000
Nd1 Nd 0.0000 0.0000 0.5000
Se1 Se 0.0000 0.0000 0.2409



Least stable = (P)